1.
Material: La2ZnCu3Ni12
Method: DFT, GGA-PBE
State: optimized geometry

```
La2ZnCu3Ni12
1.0
8.864 1.655 1.174
5.817 6.890 1.174
5.817 3.386 6.115
Ni Cu La Zn
12 3 2 1
direct
0.064 0.653 0.064
0.577 0.577 0.191
0.423 0.423 0.809
0.577 0.191 0.577
0.936 0.936 0.347
0.064 0.064 0.653
0.347 0.936 0.936
0.191 0.577 0.577
0.423 0.809 0.423
0.936 0.347 0.936
0.809 0.423 0.423
0.653 0.064 0.064
0.000 0.500 0.000
0.500 0.000 0.000
0.000 0.000 0.500
0.659 0.659 0.659
0.341 0.341 0.341
0.000 0.000 0.000
```

Computed properties:
For the formation energy, the calculation gives 0.2034 eV/atom. The value obtained for the volume is 266.7 Å³/f.u.

2.
Material: LaZn2CuNi2
Method: DFT, GGA-PBE
State: optimized geometry

```
LaZn2CuNi2
1.0
-3.555 -2.315 1.500
1.143 -3.464 -2.635
2.982 -2.020 3.949
Ni Zn La Cu
2 2 1 1
direct
0.000 0.500 0.000
0.500 0.000 0.000
0.500 0.500 0.242
0.500 0.500 0.758
0.000 0.000 0.500
0.000 0.000 0.000
```

Computed properties:
For the formation energy, the calculation gives -0.0241 eV/atom. The value obtained for the volume is 108.2 Å³/f.u.

3.
Material: La2ZrCu3Ni12
Method: DFT, GGA-PBE
State: optimized geometry

```
La2ZrCu3Ni12
1.0
6.179 -1.332 -0.945
1.893 6.030 -0.945
1.893 1.102 6.004
Ni Cu Zr La
12 3 1 2
direct
0.598 0.124 0.598
0.876 0.402 0.402
0.712 0.199 0.199
0.598 0.598 0.124
0.402 0.876 0.402
0.288 0.801 0.801
0.199 0.712 0.199
0.402 0.402 0.876
0.199 0.199 0.712
0.801 0.288 0.801
0.801 0.801 0.288
0.124 0.598 0.598
0.000 0.000 0.500
0.500 0.000 0.000
0.000 0.500 0.000
0.000 0.000 0.000
0.686 0.686 0.686
0.314 0.314 0.314
```

Computed properties:
For the formation energy, the calculation gives 0.0190 eV/atom. The value obtained for the volume is 256.5 Å³/f.u.

4.
Material: LaNpCu2O8
Method: DFT, GGA-PBE
State: optimized geometry

```
LaNpCu2O8
1.0
-3.446 4.068 0.361
-0.948 -1.257 5.106
6.125 1.787 -1.219
La O Cu Np
1 8 2 1
direct
0.750 0.250 0.500
0.973 0.890 0.592
0.723 0.844 0.074
0.110 0.380 0.408
0.156 0.650 0.926
0.350 0.230 0.074
0.620 0.702 0.592
0.770 0.277 0.926
0.298 0.027 0.408
0.250 0.750 0.500
0.500 0.500 0.000
0.000 0.000 0.000
```

Computed properties:
The value obtained for the volume is 150.9 Å³/f.u. The calculation puts the formation energy (no corrections) at -1.672 eV/atom.

5.
Material: La2NpCuRh6
Method: DFT, GGA-PBE
State: optimized geometry

```
La2NpCuRh6
1.0
6.705 0.000 0.000
0.000 6.705 0.000
3.353 3.352 4.741
La Cu Rh Np
2 1 6 1
direct
0.750 0.250 0.500
0.250 0.750 0.500
0.000 0.000 0.000
0.751 0.751 0.000
0.249 0.249 0.000
0.249 0.249 0.502
0.751 0.249 0.000
0.751 0.751 0.498
0.249 0.751 0.000
0.500 0.500 0.000
```

Computed properties:
For the formation energy, the calculation gives -0.0747 eV/atom. The value obtained for the volume is 213.2 Å³/f.u.

6.
Material: La2NpCuS5
Method: DFT, GGA-PBE
State: optimized geometry

```
La2NpCuS5
1.0
-1.283 -3.517 1.306
8.416 -0.366 1.262
-1.464 4.659 11.111
S La Cu Np
10 4 2 2
direct
0.980 0.960 0.513
0.301 0.603 0.683
0.653 0.307 0.520
0.507 0.013 0.252
0.313 0.625 0.367
0.347 0.693 0.020
0.493 0.987 0.752
0.699 0.397 0.183
0.020 0.040 0.013
0.687 0.375 0.867
0.884 0.768 0.195
0.116 0.232 0.695
0.118 0.237 0.345
0.882 0.763 0.845
0.450 0.899 0.422
0.550 0.101 0.922
0.182 0.364 0.026
0.818 0.636 0.526
```

Computed properties:
The value obtained for the volume is 199.3 Å³/f.u. The calculation puts the formation energy (no corrections) at -1.638 eV/atom.

7.
Material: LaNpCuS4
Method: DFT, GGA-PBE
State: optimized geometry

```
LaNpCuS4
1.0
-4.265 4.700 0.422
-4.611 -4.081 -1.153
0.887 -3.030 7.181
La Np Cu S
2 2 2 8
direct
0.755 0.750 0.941
0.245 0.250 0.059
0.228 0.250 0.556
0.772 0.750 0.444
0.239 0.750 0.319
0.761 0.250 0.681
0.437 0.750 0.125
0.020 0.513 0.738
0.563 0.250 0.875
0.980 0.487 0.262
0.020 0.987 0.738
0.450 0.750 0.604
0.980 0.013 0.262
0.550 0.250 0.396
```

Computed properties:
The value obtained for the volume is 149.0 Å³/f.u. The calculation puts the formation energy (no corrections) at -1.343 eV/atom.

8.
Material: La2CuO4
Method: DFT, GGA-PBE
State: optimized geometry

```
La2CuO4
1.0
-2.155 -4.123 -5.153
3.433 -3.137 -5.155
-0.237 1.357 6.804
O La Cu
4 2 1
direct
0.000 0.500 0.500
0.500 0.000 0.500
0.250 0.750 0.500
0.750 0.250 0.500
0.351 0.351 0.000
0.649 0.649 0.000
0.000 0.000 0.000
```

Computed properties:
The value obtained for the volume is 102.0 Å³/f.u. The calculation puts the formation energy (no corrections) at -2.648 eV/atom.

9.
Material: La2CuO4
Method: DFT, GGA-PBE
State: optimized geometry

```
La2CuO4
1.0
7.084 -0.014 0.000
-5.066 4.953 0.000
0.000 0.000 5.584
Cu O La
2 8 4
direct
0.000 0.000 0.000
0.500 0.500 0.500
0.812 0.188 0.932
0.737 0.763 0.250
0.263 0.237 0.750
0.763 0.737 0.750
0.188 0.812 0.068
0.237 0.263 0.250
0.688 0.312 0.432
0.312 0.688 0.568
0.639 0.361 0.016
0.861 0.139 0.516
0.139 0.861 0.484
0.361 0.639 0.984
```

Computed properties:
The value obtained for the volume is 97.8 Å³/f.u. The calculation puts the formation energy (no corrections) at -2.585 eV/atom.

10.
Material: La4Cu2O
Method: DFT, GGA-PBE
State: optimized geometry

```
La4Cu2O
1.0
-1.759 -3.891 2.555
2.967 1.168 3.820
-4.628 2.831 5.970
La O Cu
4 1 2
direct
0.000 0.500 0.000
0.188 0.188 0.623
0.812 0.812 0.377
0.500 0.000 0.000
0.000 0.000 0.000
0.620 0.620 0.759
0.380 0.380 0.241
```

Computed properties:
The value obtained for the volume is 179.7 Å³/f.u. The calculation puts the formation energy (no corrections) at -0.857 eV/atom.

11.
Material: LaCu2O4
Method: DFT, GGA-PBE
State: optimized geometry

```
LaCu2O4
1.0
6.454 0.002 0.000
1.018 6.373 0.000
-3.736 -3.187 4.188
O La Cu
8 2 4
direct
0.022 0.944 0.368
0.346 0.978 0.922
0.694 0.826 0.422
0.404 0.272 0.578
0.056 0.424 0.078
0.728 0.306 0.132
0.576 0.654 0.632
0.174 0.596 0.868
0.000 0.000 0.000
0.750 0.250 0.500
0.375 0.125 0.750
0.875 0.625 0.250
0.375 0.625 0.750
0.375 0.625 0.250
```

Computed properties:
The value obtained for the volume is 86.1 Å³/f.u. The calculation puts the formation energy (no corrections) at -1.640 eV/atom.

12.
Material: LaCu2O3
Method: DFT, GGA-PBE
State: optimized geometry

```
LaCu2O3
1.0
-1.106 -0.573 -3.639
-0.604 -4.466 0.886
-9.303 1.763 2.549
Cu La O
4 2 6
direct
0.121 0.000 0.334
0.879 0.500 0.834
0.121 0.000 0.666
0.879 0.500 0.166
0.429 0.000 0.000
0.571 0.500 0.500
0.622 0.500 0.000
0.931 0.000 0.843
0.378 0.000 0.500
0.931 0.000 0.157
0.069 0.500 0.657
0.069 0.500 0.343
```

Computed properties:
The value obtained for the volume is 86.6 Å³/f.u. The calculation puts the formation energy (no corrections) at -1.636 eV/atom.

no.,M_tot (μB per formula unit)
1,0.000
2,0.000
3,0.000
4,1.982
5,0.000
6,3.780
7,3.023
8,0.000
9,0.236
10,0.000
11,0.771
12,0.610